DFT (PBE) results for crystalline NaPuIn2 at its relaxed geometry.

Cell and atoms, written as POSCAR:
```
NaPuIn2
1.0
1.6760 0.9677 11.0717
-1.6760 0.9677 11.0717
0.0000 -1.9353 11.0717
Na Pu In
1 1 2
Direct
0.0000 0.0000 0.0000 Na
0.5000 0.5000 0.5000 Pu
0.2503 0.2503 0.2503 In
0.7497 0.7497 0.7497 In
```

Results
Energy of formation from the pure elements (kJ/mol of formula units): -7
Space-group type: R-3m
Volume (A^3/atom): 26.9
Raw total energy (eV per atom): -5.30
Total moment (μB/cell): 6.2
DOS(E_F) (states/eV/f.u.): 8.94

=====

DFT (PBE) results for crystalline Na2PuIn6 at its relaxed geometry.

Cell and atoms, written as POSCAR:
```
Na2PuIn6
1.0
8.9804 0.0000 0.0000
-4.4902 7.7772 0.0000
0.0000 0.0000 3.3286
Na Pu In
2 1 6
Direct
0.3333 0.6667 0.0000 Na
0.6667 0.3333 0.0000 Na
0.0000 0.0000 0.0000 Pu
0.0000 0.3352 0.5000 In
0.0000 0.6648 0.5000 In
0.3352 0.0000 0.5000 In
0.3352 0.3352 0.5000 In
0.6648 0.0000 0.5000 In
0.6648 0.6648 0.5000 In
```

Results
Energy of formation from the pure elements (kJ/mol of formula units): -124
Space-group type: P6/mmm
Volume (A^3/atom): 25.8
Raw total energy (eV per atom): -3.85
Total moment (μB/cell): 6.0
DOS(E_F) (states/eV/f.u.): 10.97

=====

DFT (PBE) results for crystalline Na3Pu2InS6 at its relaxed geometry.

Cell and atoms, written as POSCAR:
```
Na3Pu2InS6
1.0
3.4610 -5.9936 0.0000
3.4610 5.9936 0.0000
-2.2997 0.0000 6.6527
Na Pu In S
3 2 1 6
Direct
0.0000 0.0000 0.0000 Na
0.3358 0.6642 0.0000 Na
0.6642 0.3358 0.0000 Na
0.1669 0.8331 0.5000 Pu
0.8331 0.1669 0.5000 Pu
0.5000 0.5000 0.5000 In
0.0967 0.4246 0.2735 S
0.2472 0.2472 0.7250 S
0.4246 0.0967 0.2735 S
0.5754 0.9033 0.7265 S
0.7528 0.7528 0.2750 S
0.9033 0.5754 0.7265 S
```

Results
Formation energy from raw total energies (eV/atom): -1.284
Space-group type: C2/m
Volume (A^3/atom): 23.0
Raw total energy (eV per atom): -6.29
Total moment (μB/cell): 10.0
DOS(E_F) (states/eV/f.u.): 19.90